No. 1
Compound: Rb2HgAsO
Source: Alexandria
Functional: PBE
Structure: relaxed

Formation energy (no corrections), eV per formula unit: 1.054
D(E_F), states/eV/f.u.: 24.0

POSCAR file:
```
Rb2HgAsO
1.0
6.8107 0.0000 0.0000
0.0000 6.8107 0.0000
0.0000 0.0000 4.9587
Rb Hg As O
2 1 1 1
Cartesian
0.0000 3.4054 0.0000
3.4054 0.0000 0.0000
0.0000 0.0000 0.0000
0.0000 0.0000 2.4794
3.4054 3.4054 2.4794
```

***

No. 2
Compound: LaInW2
Source: Alexandria
Functional: PBE
Structure: relaxed

D(E_F), states/eV/f.u.: 3.7
E_form, meV/atom: 926

POSCAR file:
```
LaInW2
1.0
3.0941 -4.7831 0.0000
3.0941 4.7831 0.0000
0.0000 0.0000 2.8229
La In W
1 1 2
Cartesian
0.0000 0.0000 0.0000
3.0941 0.0000 0.0000
1.5471 2.3916 1.4115
1.5471 -2.3916 1.4115
```

***

- What is the D(E_F) in the first record?
  24.0 states/eV/f.u.

***

- Which of these has the highest D(E_F)?
  Rb2HgAsO

***

What did the first record say?
Compound: Rb2HgAsO
Source: Alexandria
Functional: PBE
Structure: relaxed

Formation energy (no corrections), eV per formula unit: 1.054
D(E_F), states/eV/f.u.: 24.0

POSCAR file:
```
Rb2HgAsO
1.0
6.8107 0.0000 0.0000
0.0000 6.8107 0.0000
0.0000 0.0000 4.9587
Rb Hg As O
2 1 1 1
Cartesian
0.0000 3.4054 0.0000
3.4054 0.0000 0.0000
0.0000 0.0000 0.0000
0.0000 0.0000 2.4794
3.4054 3.4054 2.4794
```